Entry 1:
SrInAg2, relaxed, DFT PBE-GGA; space-group type = Cm, No. 8; E_form = -227 meV/atom
1.0
4.172 -2.414 0.000
4.172 2.414 0.000
-2.804 0.000 5.476
Sr In Ag
1 1 2
direct
0.000 0.000 0.000
0.796 0.796 0.388
0.202 0.202 0.605
0.523 0.523 0.567

Entry 2:
SrIn2Ag6, relaxed, DFT PBE-GGA; excess energy over the best structure of this formula in the dataset = 0.000 eV/atom; space-group type = P4/mmm, No. 123; E_form = -109 meV/atom
1.0
4.668 0.000 0.000
0.000 4.668 0.000
0.000 0.000 9.336
Sr In Ag
1 2 6
direct
0.000 0.000 0.000
0.500 0.500 0.154
0.500 0.500 0.846
0.000 0.000 0.500
0.000 0.500 0.318
0.000 0.500 0.682
0.500 0.000 0.318
0.500 0.000 0.682
0.500 0.500 0.500

Entry 3:
SrInAg2, relaxed, DFT PBE-GGA; space-group type = Pm, No. 6; E_form = -164 meV/atom
1.0
4.036 0.000 0.000
0.000 4.857 0.000
-1.046 0.000 5.556
Sr In Ag
1 1 2
direct
0.000 0.000 0.000
0.366 0.500 0.659
0.559 0.500 0.194
0.571 0.000 0.467

Entry 4:
SrIn12Ag6, relaxed, DFT PBE-GGA; space-group type = R-3m, No. 166; E_form = -27 meV/atom
1.0
6.508 3.757 3.270
-6.508 3.757 3.270
0.000 -7.514 3.270
Sr In Ag
1 12 6
direct
0.000 0.000 0.000
0.115 0.500 0.885
0.115 0.885 0.500
0.145 0.396 0.396
0.396 0.145 0.396
0.396 0.396 0.145
0.500 0.115 0.885
0.500 0.885 0.115
0.604 0.604 0.855
0.604 0.855 0.604
0.855 0.604 0.604
0.885 0.115 0.500
0.885 0.500 0.115
0.284 0.284 0.712
0.284 0.712 0.284
0.288 0.716 0.716
0.712 0.284 0.284
0.716 0.288 0.716
0.716 0.716 0.288